The following is a DFT calculation (PBE-GGA) of crystalline Ba2InPd3 at its relaxed geometry.

Unit cell a=4.7565 b=5.9306 c=7.1215 alpha=114.61 beta=109.51 gamma=90.00
Positions (direct):
Ba 0.6770 0.1770 0.3540
Ba 0.3230 0.8230 0.6460
Pd 0.6149 0.6149 0.2297
Pd 0.0000 0.0000 0.0000
Pd 0.3851 0.3851 0.7703
In 0.0000 0.5000 0.0000

Values from the calculation:
Formation energy from the elements ... -0.40 eV per atom
Symmetry ... Immm, No. 71
E ... -24.54 eV for the cell shown